[1]
This record from Alexandria describes AcLa5Pr2Sc after structural relaxation. The functional is PBE.

Unit cell a=9.289 b=9.289 c=10.057 alpha=117.51 beta=117.51 gamma=90.00
Atoms (fractional coordinates):
Sc1 0.750 0.250 0.500
La1 0.563 0.660 0.724
Ac1 0.750 0.750 0.500
Pr1 0.883 0.617 0.000
La2 0.437 0.340 0.276
La3 0.063 0.563 0.724
La4 0.000 0.000 0.000
La5 0.160 0.063 0.724
La6 0.660 0.160 0.724
La7 0.340 0.840 0.276
Ac2 0.250 0.250 0.500
Pr2 0.617 0.117 0.000
La8 0.840 0.937 0.276
Pr3 0.117 0.383 0.000
Pr4 0.383 0.883 0.000
Sc2 0.250 0.750 0.500
La9 0.500 0.500 0.000
La10 0.937 0.437 0.276

Results
E (eV per cell): -84.7
Symmetry: I4/mcm
M_tot (Bohr magnetons per cell): 0.00
Energy of formation (meV/atom): 256



[2]
This record from Alexandria describes GaMo2C after structural relaxation. The functional is PBE.

Unit cell a=2.971 b=4.851 c=7.591 alpha=90.00 beta=90.00 gamma=90.00
Atoms (fractional coordinates):
C1 0.500 0.000 0.000
Mo1 0.000 0.000 0.812
Mo2 0.500 0.500 0.688
Ga1 0.500 0.000 0.500
C2 0.000 0.500 0.500
Ga2 0.000 0.500 0.000
Mo3 0.000 0.000 0.188
Mo4 0.500 0.500 0.312

Results
E (eV per cell): -67.0
Symmetry: Immm
M_tot (Bohr magnetons per cell): 0.00
Energy of formation (meV/atom): 106



[3]
This record from Alexandria describes LaTi3Cr after structural relaxation. The functional is PBE.

Unit cell a=4.707 b=4.707 c=4.707 alpha=90.00 beta=90.00 gamma=90.00
Atoms (fractional coordinates):
Cr1 0.000 0.000 0.000
La1 0.500 0.500 0.500
Ti1 0.000 0.500 0.000
Ti2 0.000 0.000 0.500
Ti3 0.500 0.000 0.000

Results
E (eV per cell): -36.6
Symmetry: Pm-3m
M_tot (Bohr magnetons per cell): 0.00
Energy of formation (meV/atom): 337



[4]
This record from Alexandria describes KTe6Au after structural relaxation. The functional is PBE.

Unit cell a=6.861 b=5.755 c=12.345 alpha=81.38 beta=133.44 gamma=116.67
Atoms (fractional coordinates):
K1 0.500 0.500 0.500
Te1 0.904 0.222 0.491
Te2 0.193 0.440 0.920
Te3 0.807 0.560 0.080
Te4 0.473 0.879 0.172
Te5 0.527 0.121 0.828
Au1 0.000 0.000 0.000
Te6 0.096 0.778 0.509

Results
E (eV per cell): -24.7
Symmetry: P-1
M_tot (Bohr magnetons per cell): 0.00
Energy relative to the elements, uncorrected (eV/f.u.): -1.50